A geometry-optimized TeIr2Br structure. Source: Alexandria via LeMat-Bulk, functional GGA-PBE.

Excess energy over the best structure of this formula in the dataset: 0.5025 eV per atom
Uncorrected formation energy: 0.698 eV per atom
Space-group type: Cmm2, No. 35
VASP energy: -4.94 eV/atom

```
TeIr2Br
1.0
1.476 -2.729 0.000
1.476 2.729 0.000
0.000 0.000 10.319
Te Ir Br
1 2 1
Direct
0.000 0.000 0.000 Te
0.000 0.000 0.563 Ir
0.500 0.500 0.773 Ir
0.500 0.500 0.354 Br
```